Record 1
The following is a PBE calculation of Li2YTh after structural relaxation, from Alexandria via LeMat-Bulk.

The structure in extended XYZ format:
```
4
Lattice="3.6870 0.0000 0.0000 0.0000 3.6870 0.0000 0.0000 0.0000 7.3936" Properties=species:S:1:pos:R:3 pbc="T T T"
Y 1.8435 1.8435 0.0000
Th 1.8435 1.8435 3.6968
Li 0.0000 0.0000 5.5727
Li 0.0000 0.0000 1.8209
```

Computed properties:
Total magnetization: 0.00 μB/f.u.
ΔE to the lowest computed polymorph: 0.00 kcal/mol of atoms
N(E_F): 3.842 states/eV per cell
Energy relative to the elements: 0.839 eV/f.u.

---

Record 2
The following is a PBE calculation of Y4InP after structural relaxation, from Alexandria via LeMat-Bulk.

The structure in extended XYZ format:
```
6
Lattice="-1.8378 4.7026 3.6148 1.5634 5.8303 -1.4565 -4.3314 3.9626 -2.0237" Properties=species:S:1:pos:R:3 pbc="T T T"
Y -2.6448 7.7852 1.8516
Y -3.8873 7.4165 -0.9578
Y -0.9502 8.3471 -0.6752
Y -1.7292 5.4421 0.0505
In -3.4543 10.8716 0.1009
P 0.0000 0.0000 0.0000
```

Computed properties:
Total magnetization: 0.00 μB/f.u.
N(E_F): 7.848 states/eV per cell
Energy relative to the elements: 1.951 eV/f.u.

---

Record 3
The following is a PBE calculation of AcSiGeO6 after structural relaxation, from Alexandria via LeMat-Bulk.

The structure in extended XYZ format:
```
9
Lattice="4.9581 0.0000 0.0000 2.4791 4.2939 0.0001 0.0000 -0.0001 5.3749" Properties=species:S:1:pos:R:3 pbc="T T T"
Ac 4.9580 -0.0001 5.3748
Si 2.4789 1.4313 2.6874
Ge 4.9580 2.8626 2.6874
O 1.0189 1.6190 1.6441
O 1.9116 0.0730 3.7307
O 3.9390 1.6190 3.7307
O 1.5864 2.6018 3.7307
O 3.3716 2.6018 1.6441
O 3.0463 0.0730 1.6441
```

Computed properties:
Formation energy from raw total energies: -2.35 eV/atom
Total magnetization: 0.93 μB/f.u.
N(E_F): 7.489 states/eV per cell

---

Record 4
The following is a PBE calculation of TmLuMnFe after structural relaxation, from Alexandria via LeMat-Bulk.

The structure in extended XYZ format:
```
4
Lattice="4.7959 0.0000 0.0000 2.3980 4.1534 0.0000 2.3980 1.3845 3.9159" Properties=species:S:1:pos:R:3 pbc="T T T"
Lu 2.3980 1.3845 0.9790
Tm 7.1939 4.1534 2.9369
Fe 4.7959 2.7689 1.9579
Mn 0.0000 0.0000 0.0000
```

Computed properties:
Total magnetization: 4.55 μB/f.u.
N(E_F): 5.744 states/eV per cell
Energy relative to the elements: 0.492 eV/f.u.

---

Record 5
The following is a PBE calculation of CoTcHg2 after structural relaxation, from Alexandria via LeMat-Bulk.

The structure in extended XYZ format:
```
4
Lattice="-0.8895 -2.7999 -0.3676 2.1594 -0.9227 1.8032 -4.7217 0.7100 6.0178" Properties=species:S:1:pos:R:3 pbc="T T T"
Co -2.9063 -1.3288 5.2311
Hg -4.6520 0.6995 5.9289
Hg -2.4306 0.3655 3.0978
Tc -0.5455 -1.6838 2.2222
```

Computed properties:
Total magnetization: 2.99 μB/f.u.
ΔE to the lowest computed polymorph: 7.80 kcal/mol of atoms
N(E_F): 6.150 states/eV per cell
Energy relative to the elements: 2.686 eV/f.u.

---

Record 6
The following is a PBE calculation of KVCl4 after structural relaxation, from Alexandria via LeMat-Bulk.

The structure in extended XYZ format:
```
6
Lattice="8.0109 0.0000 0.0000 0.0000 8.0109 0.0000 -4.0054 -4.0054 3.1917" Properties=species:S:1:pos:R:3 pbc="T T T"
K 4.0054 0.0000 1.5959
V 4.0054 4.0054 0.0000
Cl 2.5533 5.1519 1.2550
Cl 5.4576 2.8590 1.2550
Cl -1.1464 -1.4522 1.9367
Cl 1.1464 1.4522 1.9367
```

Computed properties:
Formation energy from raw total energies: -1.43 eV/atom
Total magnetization: 2.00 μB/f.u.
ΔE to the lowest computed polymorph: 0.40 kcal/mol of atoms

---

Record 7
The following is a PBE calculation of Cu2NiH3 after structural relaxation, from Alexandria via LeMat-Bulk.

The structure in extended XYZ format:
```
12
Lattice="3.7364 0.0000 0.0000 0.0000 5.4455 -0.1366 -1.8682 -1.4671 4.1597" Properties=species:S:1:pos:R:3 pbc="T T T"
Cu 1.8682 2.7064 1.3193
Cu 1.8681 -0.0164 1.3877
Cu 0.0000 3.9947 2.6354
Cu 0.0000 1.2720 2.7037
Ni 3.7362 4.0841 -0.1025
Ni 0.0002 1.3614 -0.0342
H 1.8677 1.3614 -0.0342
H 1.8687 4.0841 -0.1025
H 0.0000 0.0414 1.1041
H 1.8682 1.2142 2.9873
H 0.0000 2.7642 1.0358
H 1.8682 3.9369 2.9190
```

Computed properties:
Total magnetization: 0.00 μB/f.u.
ΔE to the lowest computed polymorph: 0.00 kcal/mol of atoms
N(E_F): 2.145 states/eV per cell

---

Record 8
The following is a PBE calculation of LaHfZnF2 after structural relaxation, from Alexandria via LeMat-Bulk.

The structure in extended XYZ format:
```
5
Lattice="-3.2266 1.6783 -2.6056 -3.7009 -2.5464 2.9428 -0.3158 3.5637 2.6864" Properties=species:S:1:pos:R:3 pbc="T T T"
Zn 0.0000 0.0000 0.0000
F -0.1579 1.7819 1.3432
F -1.6133 0.8391 -1.3028
Hf -1.8505 -1.2732 1.4714
La -3.6217 1.3478 1.5118
```

Computed properties:
Formation energy from raw total energies: -0.59 eV/atom
Total magnetization: 0.00 μB/f.u.
N(E_F): 5.085 states/eV per cell

---

Record 9
The following is a PBE calculation of TbCeAlCd after structural relaxation, from Alexandria via LeMat-Bulk.

The structure in extended XYZ format:
```
4
Lattice="5.2658 0.0000 0.0000 2.6329 4.5604 0.0000 2.6329 1.5201 4.2995" Properties=species:S:1:pos:R:3 pbc="T T T"
Tb 5.2658 3.0402 2.1498
Al 2.6329 1.5201 1.0749
Ce 0.0000 0.0000 0.0000
Cd 7.8988 4.5604 3.2247
```

Computed properties:
Total magnetization: 0.54 μB/f.u.
N(E_F): 8.423 states/eV per cell
Energy relative to the elements: -1.046 eV/f.u.

---

Record 10
The following is a PBE calculation of Nd5Sm12Th3 after structural relaxation, from Alexandria via LeMat-Bulk.

The structure in extended XYZ format:
```
80
Lattice="-7.3808 -1.7476 -14.3325 -10.2590 -4.0385 11.8909 4.6188 15.4329 1.8552" Properties=species:S:1:pos:R:3 pbc="T T T"
Th -8.8053 -0.8960 -6.0584
Th -13.5751 -2.6289 -3.3908
Th -7.5753 5.9614 4.7030
Th -1.3955 4.8456 -1.4011
Th -6.5859 1.8243 -10.5908
Th -8.0249 0.6788 2.5210
Th -4.9960 8.9680 -3.1073
Th -6.4351 7.8225 10.0044
Th -11.6254 4.8012 0.8147
Th -5.4457 3.6855 -5.2894
Th 0.5541 12.2757 2.8045
Th -4.2156 10.5428 5.4720
Nd -3.6150 2.1253 3.1313
Nd -5.1295 -2.0193 5.9455
Nd 0.0000 0.0000 0.0000
Nd -4.7552 0.2641 -2.1701
Nd -1.3810 6.8427 -6.2386
Nd -8.8199 -2.8930 -1.2208
Nd -6.8848 2.5400 7.8223
Nd -2.7765 11.6883 -7.6397
Nd -10.2154 1.9526 -2.6218
Nd -0.5861 10.4145 -2.4969
Nd -12.4349 -0.7677 1.9106
Nd -6.5105 4.8234 -0.2932
Nd -3.6904 -0.8738 -7.1663
Nd 2.3094 7.7165 0.9276
Nd -2.8056 7.6942 2.0355
Nd -10.2444 -2.0415 7.0534
Nd -2.8201 5.6972 6.8731
Nd -6.1362 7.1068 -8.4087
Nd -8.2658 9.3827 1.5837
Nd -9.4059 7.5215 -3.7177
Sm -6.4857 -0.7510 -8.6857
Sm -6.3673 3.7647 2.7062
Sm -9.3233 1.0813 -8.5270
Sm -5.9294 0.2129 -5.1804
Sm -8.8081 6.2007 1.4277
Sm -11.9542 -1.4535 -6.2712
Sm -8.5227 2.6005 5.0372
Sm -9.1843 -1.6497 10.0810
Sm -10.6851 5.4349 4.1342
Sm -10.7186 -1.1983 -3.1339
Sm -8.4218 2.4968 -5.2544
Sm -15.4349 -4.1465 -0.8329
Sm -5.8787 5.6103 7.7532
Sm -6.6737 -0.9628 0.1229
Sm -8.5642 1.6552 10.4377
Sm -1.8118 7.4971 -3.1526
Sm -1.2522 2.7455 1.0157
Sm -9.6252 -2.3615 1.8134
Sm -14.2748 -0.9716 -0.7384
Sm -4.8981 -0.8377 2.9980
Sm -8.6495 7.4957 7.3036
Sm -8.8589 2.7322 0.2059
Sm -12.8621 3.7796 -2.3049
Sm -4.9764 11.3014 -5.3042
Sm -4.1620 6.9146 -0.7922
Sm -0.1588 5.8672 1.7185
Sm -8.0445 -1.6546 4.7179
Sm 1.2538 10.6185 0.1520
Sm -4.3714 2.1511 -7.8900
Sm -8.1229 10.4846 -3.5843
Sm -3.3957 12.0083 -2.3998
Sm -11.2092 2.1497 2.5663
Sm -11.7688 6.9013 -1.6020
Sm -4.4567 7.9916 -11.0241
Sm -7.1422 4.0365 -8.3395
Sm 2.4139 13.7933 0.2466
Sm -6.3473 10.6097 -0.7092
Sm -2.3359 4.2119 -4.7205
Sm -2.3023 10.8451 2.5475
Sm -4.5991 7.1500 4.6681
Sm -3.8366 11.2965 -10.6673
Sm -4.4983 7.0464 -5.6235
Sm -7.0916 9.4340 4.5941
Sm -1.0667 11.1004 5.6848
Sm -4.2128 3.4462 -2.0141
Sm -3.6977 8.5656 7.9406
Sm -6.6536 5.8821 -3.2925
Sm -6.5353 10.3979 8.0994
```

Computed properties:
Total magnetization: 0.00 μB/f.u.
N(E_F): 164.081 states/eV per cell
Energy relative to the elements: 20.372 eV/f.u.

---

Record 11
The following is a PBE calculation of TlRh2Au after structural relaxation, from Alexandria via LeMat-Bulk.

The structure in extended XYZ format:
```
4
Lattice="3.0271 0.0000 0.0000 0.0000 4.6502 0.0000 0.0000 0.0000 4.9286" Properties=species:S:1:pos:R:3 pbc="T T T"
Tl 1.5135 2.3251 0.0000
Rh 0.0000 0.0000 0.0000
Rh 1.5135 0.0000 2.4643
Au 0.0000 2.3251 2.4643
```

Computed properties:
Total magnetization: 0.00 μB/f.u.
N(E_F): 3.327 states/eV per cell
Energy relative to the elements: 1.062 eV/f.u.